(1)
# CaPd2W PBE-GGA optimized geometry
data_CaPd2W
_symmetry_space_group_name_H-M 'F m -3 m'
_symmetry_Int_Tables_number 225
_symmetry_space_group_name_Hall '-F 4 2 3'
_cell_length_a 6.5997
_cell_length_b 6.5997
_cell_length_c 6.5997
_cell_angle_alpha 90.00
_cell_angle_beta 90.00
_cell_angle_gamma 90.00
loop_
_atom_site_label
_atom_site_type_symbol
_atom_site_fract_x
_atom_site_fract_y
_atom_site_fract_z
Ca1 Ca 0.0000 0.0000 0.0000
Pd1 Pd 0.2500 0.2500 0.2500
W1 W 0.0000 0.0000 0.5000
# D(E_F) ... 8.8 states/eV per cell
# Energy of formation from the pure elements ... 0.25 eV per atom

=====

(2)
# YSb2Ir2 PBE-GGA optimized geometry
data_YSb2Ir2
_symmetry_space_group_name_H-M 'P 4/m b m'
_symmetry_Int_Tables_number 127
_symmetry_space_group_name_Hall '-P 4 2ab'
_cell_length_a 7.4189
_cell_length_b 7.4189
_cell_length_c 3.7920
_cell_angle_alpha 90.00
_cell_angle_beta 90.00
_cell_angle_gamma 90.00
loop_
_atom_site_label
_atom_site_type_symbol
_atom_site_fract_x
_atom_site_fract_y
_atom_site_fract_z
Y1 Y 0.0000 0.0000 0.0000
Sb1 Sb 0.1720 0.3280 0.5000
Ir1 Ir 0.1283 0.6283 0.0000
# ΔE_f (raw) ... -0.26 eV per atom
# D(E_F) ... 8.9 states/eV per cell

=====

(3)
# K4ClO PBE-GGA optimized geometry
data_K4ClO
_symmetry_space_group_name_H-M 'I -4 m 2'
_symmetry_Int_Tables_number 119
_symmetry_space_group_name_Hall 'I -4 -2'
_cell_length_a 5.6680
_cell_length_b 5.6680
_cell_length_c 14.8158
_cell_angle_alpha 90.00
_cell_angle_beta 90.00
_cell_angle_gamma 90.00
loop_
_atom_site_label
_atom_site_type_symbol
_atom_site_fract_x
_atom_site_fract_y
_atom_site_fract_z
K1 K 0.0000 0.0000 0.1724
K2 K 0.0000 0.5000 0.5175
Cl1 Cl 0.0000 0.5000 0.7500
O1 O 0.0000 0.0000 0.0000
# ΔE_f (raw) ... -1.10 eV per atom
# D(E_F) ... 2.9 states/eV per cell

=====

- Which of these has the highest D(E_F)?
  YSb2Ir2